## BeNi2Pb (PBE)

Data for an optimized crystal structure of BeNi2Pb.

Cell lengths 6.625, 3.812, 4.984 Å; angles 90.00, 115.84, 90.00 degrees
Space group C2/m (No. 12)
Inequivalent atoms, fractional coordinates:
Be (0.000, 0.000, 0.000)
Ni (0.208, 0.500, 0.127)
Pb (0.000, 0.500, 0.500)

Values from the calculation:
- Energy above the lowest structure with this stoichiometry: 20 meV/atom
- Final energy: -37.38 eV/cell
- Total magnetization: 0.00 Bohr magnetons per cell
- Energy of formation: 77 meV per atom